(1)
First-principles (GGA-PBE) data for ScSiRu after structural relaxation, as listed in Alexandria via LeMat-Bulk.

Cell: 4.2008 4.2008 3.1871 Å, 90.00 90.00 120.00°
Closest atoms and distances in Å follow each position.
Fractional positions:
Ru (0.0000, 0.0000, 0.8332)  3 Si 2.43
Sc (0.6667, 0.3333, 0.3333)  6 Si 2.90, 6 Ru 2.90, 2 Sc 3.19
Si (0.3333, 0.6667, 0.8335)  3 Ru 2.43

Computed properties:
Crystal system: hexagonal
SG: P-6m2
E_form (uncorrected) (meV/atom): -721
Mass density (Mg/m³): 5.936


(2)
First-principles (GGA-PBE) data for ScMn2Mo after structural relaxation, as listed in Alexandria via LeMat-Bulk.

Cell: 8.9601 8.9601 8.9601 Å, 18.25 18.25 18.25°
Closest atoms and distances in Å follow each position.
Fractional positions:
Mn (0.9922, 0.9922, 0.9922)  3 Mn 2.46
Mn (0.2565, 0.2565, 0.2565)  3 Mn 2.46, 3 Mo 2.73
Sc (0.7441, 0.7441, 0.7441)  3 Mn 2.79, 6 Sc 2.84, 3 Mo 3.03
Mo (0.5072, 0.5072, 0.5072)  3 Mn 2.73, 6 Mo 2.84, 3 Sc 3.03

Computed properties:
Crystal system: trigonal
SG: R3m
ΔH_f (0 K) (meV/atom): 373
Mass density (Mg/m³): 6.758


(3)
First-principles (GGA-PBE) data for In2SnI after structural relaxation, as listed in Alexandria via LeMat-Bulk.

Cell: 6.9281 6.9281 8.9575 Å, 67.25 67.25 90.00°
Closest atoms and distances in Å follow each position.
Fractional positions:
I (0.0000, 0.0000, 0.0000)  4 In 3.27
I (0.7500, 0.2500, 0.5000)  4 In 3.27
Sn (0.2500, 0.7500, 0.5000)  4 In 2.92
Sn (0.5000, 0.5000, 0.0000)  4 In 2.92
In (0.1692, 0.6250, 0.2500)  2 Sn 2.92, 2 I 3.27
In (0.8750, 0.8308, 0.7500)  2 Sn 2.92, 2 I 3.27
In (0.3750, 0.4192, 0.7500)  2 Sn 2.92, 2 I 3.27
In (0.5808, 0.1250, 0.2500)  2 Sn 2.92, 2 I 3.27

Computed properties:
Crystal system: tetragonal
SG: I-42d
E_form (uncorrected) (meV/atom): 28
Mass density (Mg/m³): 4.385
Polymorph energy (0 for the lowest one) (kcal/mol of atoms): 1.47


(4)
First-principles (GGA-PBE) data for AlBiI after structural relaxation, as listed in Alexandria via LeMat-Bulk.

Cell: 3.8410 6.4404 17.8636 Å, 90.00 90.00 90.00°
Closest atoms and distances in Å follow each position.
Fractional positions:
Al (0.2500, 0.4734, 0.0669)  2 I 2.79, 3 Bi 2.87-3.04, 2 Al 3.09
Al (0.7500, 0.5266, 0.9331)  2 I 2.79, 3 Bi 2.87-3.04, 2 Al 3.09
Al (0.2500, 0.0266, 0.5669)  2 I 2.79, 3 Bi 2.87-3.04, 2 Al 3.09
Al (0.7500, 0.9734, 0.4331)  2 I 2.79, 3 Bi 2.87-3.04, 2 Al 3.09
Bi (0.2500, 0.3368, 0.4513)  3 Al 2.87-3.04
Bi (0.2500, 0.1632, 0.9513)  3 Al 2.87-3.04
Bi (0.7500, 0.8368, 0.0487)  3 Al 2.87-3.04
Bi (0.7500, 0.6632, 0.5487)  3 Al 2.87-3.04
I (0.7500, 0.3475, 0.1705)  2 Al 2.79
I (0.2500, 0.8475, 0.3295)  2 Al 2.79
I (0.2500, 0.6525, 0.8295)  2 Al 2.79
I (0.7500, 0.1525, 0.6705)  2 Al 2.79

Computed properties:
Crystal system: orthorhombic
SG: Pnma
E_form (uncorrected) (meV/atom): -115
Mass density (Mg/m³): 5.454


(5)
First-principles (GGA-PBE) data for LaAlIn2Cl after structural relaxation, as listed in Alexandria via LeMat-Bulk.

Cell: 5.3239 5.0369 5.3239 Å, 90.00 90.00 90.00°
Closest atoms and distances in Å follow each position.
Fractional positions:
Cl (0.0000, 0.5000, 0.0000)  2 Al 2.52
In (0.0000, 0.0000, 0.5000)  2 Al 2.66
In (0.5000, 0.0000, 0.0000)  2 Al 2.66
La (0.5000, 0.5000, 0.5000)  8 In 3.66, 4 Cl 3.76
Al (0.0000, 0.0000, 0.0000)  2 Cl 2.52, 4 In 2.66

Computed properties:
Crystal system: tetragonal
SG: P4/mmm
E_form (uncorrected) (meV/atom): -129
Mass density (Mg/m³): 5.013


(6)
First-principles (GGA-PBE) data for BaSr2Ag after structural relaxation, as listed in Alexandria via LeMat-Bulk.

Cell: 6.0637 6.0637 6.0637 Å, 60.00 60.00 60.00°
Closest atoms and distances in Å follow each position.
Fractional positions:
Sr (0.7500, 0.7500, 0.7500)  4 Ba 3.71, 4 Ag 3.71
Sr (0.2500, 0.2500, 0.2500)  4 Ba 3.71, 4 Ag 3.71
Ba (0.5000, 0.5000, 0.5000)  8 Sr 3.71
Ag (0.0000, 0.0000, 0.0000)  8 Sr 3.71

Computed properties:
Crystal system: cubic
SG: Fm-3m
ΔH_f (0 K) (meV/atom): 101
Mass density (Mg/m³): 4.428
Polymorph energy (0 for the lowest one) (kcal/mol of atoms): 5.91


(7)
First-principles (GGA-PBE) data for LiMoIrRh after structural relaxation, as listed in Alexandria via LeMat-Bulk.

Cell: 4.3014 4.3014 4.3014 Å, 60.00 60.00 60.00°
Closest atoms and distances in Å follow each position.
Fractional positions:
Li (0.0000, 0.0000, 0.0000)  4 Rh 2.63, 4 Ir 2.63
Rh (0.2500, 0.2500, 0.2500)  4 Mo 2.63, 4 Li 2.63
Mo (0.5000, 0.5000, 0.5000)  4 Ir 2.63, 4 Rh 2.63
Ir (0.7500, 0.7500, 0.7500)  4 Mo 2.63, 4 Li 2.63

Computed properties:
Crystal system: cubic
SG: F-43m
ΔH_f (0 K) (meV/atom): -165
Mass density (Mg/m³): 11.744


(8)
First-principles (GGA-PBE) data for Mn2CuHg after structural relaxation, as listed in Alexandria via LeMat-Bulk.

Cell: 3.0406 3.1104 7.4086 Å, 65.28 90.00 90.00°
Closest atoms and distances in Å follow each position.
Fractional positions:
Mn (0.0000, 0.5351, 0.4652)  4 Cu 2.61, 4 Hg 2.90, 1 Mn 2.90
Mn (0.0000, 0.9649, 0.0348)  4 Cu 2.61, 4 Hg 2.90, 1 Mn 2.90
Cu (0.5000, 0.2500, 0.2500)  8 Mn 2.61
Hg (0.5000, 0.7500, 0.7500)  8 Mn 2.90, 4 Hg 3.04-3.11

Computed properties:
Crystal system: monoclinic
SG: P2/m
ΔH_f (0 K) (meV/atom): 277
Mass density (Mg/m³): 9.758


(9)
First-principles (GGA-PBE) data for Sr5Ru after structural relaxation, as listed in Alexandria via LeMat-Bulk.

Cell: 10.2732 10.2732 6.0972 Å, 90.00 90.00 156.40°
Closest atoms and distances in Å follow each position.
Fractional positions:
Sr (0.3775, 0.6225, 0.0000)  2 Ru 3.16, 2 Sr 3.53
Sr (0.4662, 0.5338, 0.5000)  4 Sr 3.53-3.59, 4 Ru 3.75
Sr (0.1110, 0.8890, 0.5000)  8 Sr 3.59-4.01, 2 Ru 3.84
Sr (0.6031, 0.3969, 0.0000)  2 Ru 3.02
Sr (0.7807, 0.2193, 0.5000)  10 Sr 4.01-4.28
Ru (0.9949, 0.0051, 0.0000)  4 Sr 3.02-3.16

Computed properties:
Crystal system: orthorhombic
SG: Amm2
ΔH_f (0 K) (meV/atom): 376
Mass density (Mg/m³): 3.475
Polymorph energy (0 for the lowest one) (kcal/mol of atoms): 0.00


(10)
First-principles (GGA-PBE) data for Ta2CuRh after structural relaxation, as listed in Alexandria via LeMat-Bulk.

Cell: 2.8319 2.8319 7.8059 Å, 90.00 90.00 91.63°
Closest atoms and distances in Å follow each position.
Fractional positions:
Ta (0.0000, 0.0000, 0.0000)  4 Cu 2.78-2.82, 4 Rh 2.78-2.82, 4 Ta 2.83
Ta (0.0000, 0.0000, 0.5000)  4 Cu 2.78-2.82, 4 Rh 2.78-2.82, 4 Ta 2.83
Rh (0.5000, 0.5000, 0.7500)  8 Ta 2.78-2.82, 4 Rh 2.83
Cu (0.5000, 0.5000, 0.2500)  8 Ta 2.78-2.82, 4 Cu 2.83

Computed properties:
Crystal system: orthorhombic
SG: Cmmm
ΔH_f (0 K) (meV/atom): -140
Mass density (Mg/m³): 14.021


(11)
First-principles (GGA-PBE) data for Al2TlPt after structural relaxation, as listed in Alexandria via LeMat-Bulk.

Cell: 3.1240 3.1240 8.0638 Å, 90.00 90.00 90.04°
Closest atoms and distances in Å follow each position.
Fractional positions:
Al (0.0000, 0.0000, 0.4352)  4 Pt 2.67
Al (0.0000, 0.0000, 0.0648)  4 Pt 2.67
Tl (0.5000, 0.5000, 0.7500)  4 Tl 3.12, 8 Al 3.36-3.37
Pt (0.5000, 0.5000, 0.2500)  8 Al 2.67

Computed properties:
Crystal system: tetragonal
SG: P4/mmm
ΔH_f (0 K) (meV/atom): -289
Mass density (Mg/m³): 9.567
Polymorph energy (0 for the lowest one) (kcal/mol of atoms): 1.17


(12)
First-principles (GGA-PBE) data for SrAc4S5 after structural relaxation, as listed in Alexandria via LeMat-Bulk.

Cell: 6.0845 7.4447 7.4447 Å, 80.39 65.88 65.88°
Closest atoms and distances in Å follow each position.
Fractional positions:
Ac (0.6007, 0.5993, 0.2013)  6 S 3.04-3.07
Ac (0.4012, 0.4007, 0.7987)  6 S 3.04-3.07
Ac (0.2000, 0.2013, 0.4007)  6 S 3.04-3.07
Ac (0.8020, 0.7987, 0.5993)  6 S 3.04-3.07
Sr (0.0013, 0.0000, 0.0000)  6 S 3.00-3.04
S (0.7049, 0.1968, 0.3953)  1 Sr 3.00, 5 Ac 3.04-3.07
S (0.5014, 0.0000, 0.0000)  2 Sr 3.04, 4 Ac 3.05
S (0.1002, 0.6047, 0.1968)  1 Sr 3.00, 5 Ac 3.04-3.07
S (0.2970, 0.8032, 0.6047)  1 Sr 3.00, 5 Ac 3.04-3.07
S (0.9017, 0.3953, 0.8032)  1 Sr 3.00, 5 Ac 3.04-3.07

Computed properties:
Crystal system: tetragonal
SG: I4/m
E_form (uncorrected) (meV/atom): -2020
Mass density (Mg/m³): 6.833


(13)
First-principles (GGA-PBE) data for Hf3MgPt after structural relaxation, as listed in Alexandria via LeMat-Bulk.

Cell: 5.0824 5.0824 5.0824 Å, 90.00 90.00 90.00°
Closest atoms and distances in Å follow each position.
Fractional positions:
Mg (0.5000, 0.5000, 0.5000)  12 Hf 3.59
Hf (0.5000, 0.0000, 0.0000)  2 Pt 2.54
Hf (0.0000, 0.0000, 0.5000)  2 Pt 2.54
Hf (0.0000, 0.5000, 0.0000)  2 Pt 2.54
Pt (0.0000, 0.0000, 0.0000)  6 Hf 2.54

Computed properties:
Crystal system: cubic
SG: Pm-3m
ΔH_f (0 K) (meV/atom): 228
Mass density (Mg/m³): 9.548
Polymorph energy (0 for the lowest one) (kcal/mol of atoms): 0.00